18
Lattice="-3.796 7.228 -2.483 0.293 -9.165 -3.004 -6.049 -1.773 9.275" Properties=species:S:1:pos:R:3 comment="PmSm4Ho4, optimized geometry, DFT PBE" e_tot_ev_per_atom=-4.641 space_group="P-1, No. 2" formation_energy_ev_per_atom=0.02 pbc="T T T"
Ho -5.195 -2.421 0.266
Ho -5.846 -5.190 6.450
Ho -2.963 -4.630 -1.569
Ho -3.706 1.480 -2.663
Ho -4.357 -1.289 3.521
Ho -2.027 -1.174 -1.018
Ho -6.588 0.920 5.356
Ho -7.525 -2.536 4.805
Sm -3.089 -7.004 1.106
Sm -5.314 -4.770 2.948
Sm -4.238 1.060 0.839
Sm -8.795 3.168 7.206
Sm -6.463 3.294 2.681
Sm -7.420 -0.215 2.131
Sm -2.132 -3.495 1.656
Sm -0.757 -6.877 -3.419
Pm -4.664 -1.996 -3.211
Pm -4.888 -1.714 6.998